(1)
Density functional theory data (GGA-PBE) for a relaxed structure of CuPd2Cl8.

a = 6.756 Å, b = 6.756 Å, c = 9.865 Å
α = 117.15°, β = 117.15°, γ = 67.53°
Atoms (fractional coordinates):
Cu1 0.000 0.000 0.000
Pd1 0.098 0.098 0.412
Pd2 0.902 0.902 0.588
Cl1 0.143 0.143 0.674
Cl2 0.161 0.750 0.821
Cl3 0.250 0.839 0.179
Cl4 0.335 0.335 0.516
Cl5 0.665 0.665 0.484
Cl6 0.750 0.161 0.821
Cl7 0.839 0.250 0.179
Cl8 0.857 0.857 0.326

The value obtained for the total magnetization is 0.06 μB/atom. As for the crystal system: monoclinic. The space-group type is C2/m (12). The calculation puts the uncorrected formation energy at -3.47 eV/f.u. For the total energy, the calculation gives -2.975 eV per atom. The value obtained for the volume is 31.612 Å³/atom. As for the density: 2674 kg/m³.

(2)
Density functional theory data (GGA-PBE) for a relaxed structure of Y2GaCl.

a = 7.128 Å, b = 7.128 Å, c = 7.128 Å
α = 33.72°, β = 33.72°, γ = 33.72°
Atoms (fractional coordinates):
Y1 0.245 0.245 0.245
Y2 0.755 0.755 0.755
Ga1 0.500 0.500 0.500
Cl1 0.000 0.000 0.000

The value obtained for the total magnetization is 0.00 μB/atom. As for the crystal system: trigonal. The space-group type is R-3m (166). The calculation puts the uncorrected formation energy at -3.81 eV/f.u. For the total energy, the calculation gives -5.403 eV per atom. The value obtained for the volume is 24.860 Å³/atom. As for the density: 4725 kg/m³.

(3)
Density functional theory data (GGA-PBE) for a relaxed structure of CaCoSb.

a = 5.992 Å, b = 5.992 Å, c = 5.992 Å
α = 147.07°, β = 147.07°, γ = 47.26°
Atoms (fractional coordinates):
Ca1 0.000 0.000 0.000
Co1 0.695 0.695 0.000
Sb1 0.288 0.288 0.000

The value obtained for the total magnetization is 0.00 μB/atom. As for the crystal system: tetragonal. The space-group type is I4mm (107). The calculation puts the uncorrected formation energy at -0.48 eV/f.u. For the total energy, the calculation gives -4.568 eV per atom. The value obtained for the volume is 21.111 Å³/atom. As for the density: 5788 kg/m³.